Entry 1:
A geometry-optimized CsOsRu3 structure, computed with PBE.

Cell: 4.8493 4.8493 4.8493 Å, 90.00 90.00 90.00°
Fractional coordinates of all 5 atoms:
Cs: 0.5000 0.5000 0.5000
Ru: 0.0000 0.5000 0.0000
Ru: 0.0000 0.0000 0.5000
Ru: 0.5000 0.0000 0.0000
Os: 0.0000 0.0000 0.0000

Fermi-level density of states = 7.179 states/eV/f.u.
E_tot = -6.33 eV/atom
energy above the most stable polymorph in this dataset = 0 meV/atom
SG = No. 221
spin magnetization = 0.93 μB per formula unit

***

Entry 2:
A geometry-optimized CsOsRu3 structure, computed with PBE.

Cell: 4.7619 4.7619 4.7619 Å, 90.00 90.00 90.00°
Fractional coordinates of all 5 atoms:
Cs: 0.0000 0.0000 0.0000
Ru: 0.0000 0.5000 0.0000
Ru: 0.0000 0.0000 0.5000
Ru: 0.5000 0.0000 0.0000
Os: 0.5000 0.5000 0.5000

Fermi-level density of states = 13.559 states/eV/f.u.
E_tot = -4.40 eV/atom
energy above the most stable polymorph in this dataset = 1927 meV/atom
SG = No. 221
spin magnetization = 0.00 μB per formula unit